# Pm4ZnSeS2

Crystalline Pm4ZnSeS2 at its relaxed geometry (PBE, the Alexandria database).

Unit cell a=7.1863 b=4.0682 c=7.1866 alpha=90.00 beta=108.77 gamma=90.00
Positions (direct):
Pm1 0.2374 0.0000 0.2443
Pm2 0.2384 0.5000 0.7446
Pm3 0.7616 0.5000 0.2554
Pm4 0.7626 0.0000 0.7557
Zn1 0.5000 0.0000 0.0000
Se1 0.5000 0.5000 0.5000
S1 0.0000 0.0000 0.5000
S2 0.0000 0.5000 0.0000

space-group type	P2/m, No. 10
total moment	0.00	μB/atom
energy relative to the elements, uncorrected	-1.5344	eV/atom
D(E_F)	3.27	states/eV/cell


# Nd3TlHg

Crystalline Nd3TlHg at its relaxed geometry (PBE, the Alexandria database).

Unit cell a=4.9749 b=7.1650 c=9.2417 alpha=90.00 beta=90.00 gamma=90.00
Positions (direct):
Nd1 0.2500 0.0063 0.1942
Nd2 0.2500 0.2500 0.5634
Nd3 0.2500 0.4937 0.1942
Nd4 0.7500 0.5063 0.8058
Nd5 0.7500 0.7500 0.4366
Nd6 0.7500 0.9937 0.8058
Tl1 0.2500 0.7500 0.6517
Tl2 0.7500 0.2500 0.3483
Hg1 0.2500 0.2500 0.9081
Hg2 0.7500 0.7500 0.0919

space-group type	Pmmn, No. 59
total moment	0.00	μB/atom
excess energy over the best structure of this formula in the dataset	39	kJ/mol of formula units
D(E_F)	11.90	states/eV/cell


# Nd2Zn3Ge

Crystalline Nd2Zn3Ge at its relaxed geometry (PBE, the Alexandria database).

Unit cell a=4.0640 b=4.3255 c=7.6310 alpha=90.00 beta=90.00 gamma=90.00
Positions (direct):
Nd1 0.0000 0.0000 0.0000
Nd2 0.0000 0.5000 0.4733
Zn1 0.5000 0.0000 0.6576
Zn2 0.5000 0.5000 0.1497
Zn3 0.5000 0.5000 0.8173
Ge1 0.5000 0.0000 0.3249

space-group type	Pmm2, No. 25
total moment	0.00	μB/atom
excess energy over the best structure of this formula in the dataset	11	kJ/mol of formula units
D(E_F)	4.65	states/eV/cell


# Al5Zn7

Crystalline Al5Zn7 at its relaxed geometry (PBE, the Alexandria database).

Unit cell a=6.4887 b=6.4887 c=11.1254 alpha=93.15 beta=93.15 gamma=25.09
Positions (direct):
Al1 0.0000 0.0000 0.0000
Al2 0.1857 0.1857 0.4077
Al3 0.3575 0.3575 0.1460
Al4 0.6425 0.6425 0.8540
Al5 0.8143 0.8143 0.5923
Zn1 0.0369 0.0369 0.2414
Zn2 0.1422 0.1422 0.6443
Zn3 0.3246 0.3246 0.8946
Zn4 0.5000 0.5000 0.5000
Zn5 0.6754 0.6754 0.1054
Zn6 0.8578 0.8578 0.3557
Zn7 0.9631 0.9631 0.7586

space-group type	C2/m, No. 12
total moment	0.00	μB/atom
D(E_F)	3.55	states/eV/cell
calculated total energy	-2.23	eV/atom


# Mg2Ti8Sn3

Crystalline Mg2Ti8Sn3 at its relaxed geometry (PBE, the Alexandria database).

Unit cell a=10.9304 b=10.9304 c=10.9304 alpha=28.56 beta=28.56 gamma=28.56
Positions (direct):
Mg1 0.1358 0.1358 0.1358
Mg2 0.8642 0.8642 0.8642
Ti1 0.2223 0.2223 0.7296
Ti2 0.2223 0.7296 0.2223
Ti3 0.2282 0.2282 0.2282
Ti4 0.2704 0.7777 0.7777
Ti5 0.7296 0.2223 0.2223
Ti6 0.7718 0.7718 0.7718
Ti7 0.7777 0.2704 0.7777
Ti8 0.7777 0.7777 0.2704
Sn1 0.3134 0.3134 0.3134
Sn2 0.5000 0.5000 0.5000
Sn3 0.6866 0.6866 0.6866

space-group type	R-3m, No. 166
total moment	0.15	μB/atom
D(E_F)	16.99	states/eV/cell
calculated total energy	-5.89	eV/atom


# NdSm2ErH

Crystalline NdSm2ErH at its relaxed geometry (PBE, the Alexandria database).

Unit cell a=5.0866 b=5.0866 c=5.0525 alpha=90.00 beta=90.00 gamma=90.00
Positions (direct):
Nd1 0.0000 0.0000 0.0000
Sm1 0.0000 0.5000 0.5000
Sm2 0.5000 0.0000 0.5000
Er1 0.5000 0.5000 0.0000
H1 0.5000 0.5000 0.5000

space-group type	P4/mmm, No. 123
total moment	0.00	μB/atom
D(E_F)	4.35	states/eV/cell
calculated total energy	-4.60	eV/atom


# FeOsN2

Crystalline FeOsN2 at its relaxed geometry (PBE, the Alexandria database).

Unit cell a=3.7225 b=3.7225 c=3.7225 alpha=60.00 beta=60.00 gamma=60.00
Positions (direct):
Fe1 0.0000 0.0000 0.0000
Os1 0.5000 0.5000 0.5000
N1 0.2500 0.2500 0.2500
N2 0.7500 0.7500 0.7500

space-group type	Fm-3m, No. 225
total moment	0.91	μB/atom
energy relative to the elements, uncorrected	1.1047	eV/atom
excess energy over the best structure of this formula in the dataset	327	kJ/mol of formula units
D(E_F)	4.31	states/eV/cell


# YAl2Ni2

Crystalline YAl2Ni2 at its relaxed geometry (PBE, the Alexandria database).

Unit cell a=5.8906 b=5.8906 c=5.8906 alpha=140.39 beta=140.39 gamma=57.27
Positions (direct):
Y1 0.0000 0.0000 0.0000
Al1 0.2500 0.7500 0.5000
Al2 0.7500 0.2500 0.5000
Ni1 0.3861 0.3861 0.0000
Ni2 0.6139 0.6139 0.0000

space-group type	I4/mmm, No. 139
total moment	0.00	μB/atom
D(E_F)	3.58	states/eV/cell
calculated total energy	-5.70	eV/atom


# VCoPd

Crystalline VCoPd at its relaxed geometry (PBE, the Alexandria database).

Unit cell a=9.8743 b=9.8743 c=2.9003 alpha=90.00 beta=90.00 gamma=163.21
Positions (direct):
V1 0.2092 0.7908 0.7500
V2 0.7908 0.2092 0.2500
Co1 0.3547 0.6453 0.7500
Co2 0.6453 0.3547 0.2500
Pd1 0.0593 0.9407 0.7500
Pd2 0.9407 0.0593 0.2500

space-group type	Cmcm, No. 63
total moment	0.30	μB/atom
excess energy over the best structure of this formula in the dataset	46	kJ/mol of formula units
D(E_F)	6.02	states/eV/cell


# ZrMn2Co2

Crystalline ZrMn2Co2 at its relaxed geometry (PBE, the Alexandria database).

Unit cell a=6.9630 b=6.9630 c=2.8806 alpha=90.00 beta=90.00 gamma=90.00
Positions (direct):
Zr1 0.0000 0.0000 0.0000
Zr2 0.5000 0.5000 0.0000
Mn1 0.1478 0.3522 0.5000
Mn2 0.3522 0.8522 0.5000
Mn3 0.6478 0.1478 0.5000
Mn4 0.8522 0.6478 0.5000
Co1 0.1434 0.6434 0.0000
Co2 0.3566 0.1434 0.0000
Co3 0.6434 0.8566 0.0000
Co4 0.8566 0.3566 0.0000

space-group type	P4/mbm, No. 127
total moment	1.63	μB/atom
excess energy over the best structure of this formula in the dataset	28	kJ/mol of formula units
D(E_F)	9.53	states/eV/cell


# Tl2ReOs

Crystalline Tl2ReOs at its relaxed geometry (PBE, the Alexandria database).

Unit cell a=10.1445 b=10.1445 c=10.1445 alpha=17.06 beta=17.06 gamma=17.06
Positions (direct):
Tl1 0.0000 0.0000 0.0000
Tl2 0.2336 0.2336 0.2336
Re1 0.4817 0.4817 0.4817
Os1 0.7509 0.7509 0.7509

space-group type	R3m, No. 160
total moment	0.00	μB/atom
excess energy over the best structure of this formula in the dataset	69	kJ/mol of formula units
D(E_F)	1.06	states/eV/cell


# Pr3Sm12Hg

Crystalline Pr3Sm12Hg at its relaxed geometry (PBE, the Alexandria database).

Unit cell a=5.0751 b=5.0751 c=20.5830 alpha=90.00 beta=90.00 gamma=90.00
Positions (direct):
Pr1 0.0000 0.0000 0.0000
Pr2 0.0000 0.0000 0.2541
Pr3 0.0000 0.0000 0.7459
Sm1 0.0000 0.5000 0.1274
Sm2 0.0000 0.5000 0.3814
Sm3 0.0000 0.5000 0.6186
Sm4 0.0000 0.5000 0.8726
Sm5 0.5000 0.0000 0.1274
Sm6 0.5000 0.0000 0.3814
Sm7 0.5000 0.0000 0.6186
Sm8 0.5000 0.0000 0.8726
Sm9 0.5000 0.5000 0.0000
Sm10 0.5000 0.5000 0.2578
Sm11 0.5000 0.5000 0.5000
Sm12 0.5000 0.5000 0.7422
Hg1 0.0000 0.0000 0.5000

space-group type	P4/mmm, No. 123
total moment	0.00	μB/atom
D(E_F)	22.21	states/eV/cell
calculated total energy	-4.47	eV/atom


Copy entry 8 word for word.
# YAl2Ni2

Crystalline YAl2Ni2 at its relaxed geometry (PBE, the Alexandria database).

Unit cell a=5.8906 b=5.8906 c=5.8906 alpha=140.39 beta=140.39 gamma=57.27
Positions (direct):
Y1 0.0000 0.0000 0.0000
Al1 0.2500 0.7500 0.5000
Al2 0.7500 0.2500 0.5000
Ni1 0.3861 0.3861 0.0000
Ni2 0.6139 0.6139 0.0000

space-group type	I4/mmm, No. 139
total moment	0.00	μB/atom
D(E_F)	3.58	states/eV/cell
calculated total energy	-5.70	eV/atom